# 1
First-principles (PBE) data for a relaxed structure of CeYAlGa, as listed in Alexandria.

```
4
Lattice="-2.1144 -2.3725 -4.0336 -0.5307 -5.1076 0.0137 -4.6702 -2.0950 0.4116" Properties=species:S:1:pos:R:3 pbc="T T T"
Y -5.4865 -7.1814 -2.7062
Ce -1.8288 -2.3938 -0.9021
Ga 0.0000 0.0000 0.0000
Al -3.6577 -4.7876 -1.8041
```

VASP energy ... -5.22 eV/atom
Space group ... F-43m
Calculated formation energy ... -0.43 eV/atom

# 2
First-principles (PBE) data for a relaxed structure of Ce2AlZnGa6, as listed in Alexandria.

```
20
Lattice="-3.7944 -5.0319 -0.9914 2.0813 -5.8787 1.3452 -4.8252 -2.6099 11.1882" Properties=species:S:1:pos:R:3 pbc="T T T"
Ga -1.9154 -8.7200 1.6564
Ga -3.7226 -7.3437 10.4676
Ga -2.4108 -4.6642 4.3721
Ga -4.6229 -4.8005 9.8856
Ga -4.1275 -8.8564 7.1699
Ga -6.2644 -6.9774 9.4568
Ga -0.2739 -6.5432 2.0852
Ga -5.3975 -5.2693 6.3491
Ga -2.8157 -6.1769 1.0744
Ga -4.7261 -7.7346 3.7672
Ga -1.1408 -8.2513 5.1930
Ga -1.8122 -5.7860 7.7748
Al -3.2692 -6.7603 5.7710
Al 0.0000 0.0000 0.0000
Ce -5.4857 -10.0000 10.1709
Ce -3.3511 -2.9658 7.3521
Ce -1.0526 -3.5206 1.3711
Ce -3.1873 -10.5548 4.1899
Zn -2.3742 -6.9763 3.4421
Zn -4.1641 -6.5442 8.0999
```

VASP energy ... -3.72 eV/atom
Space group ... R-3m
Calculated formation energy ... -0.22 eV/atom

# 3
First-principles (PBE) data for a relaxed structure of CeAlZnGa, as listed in Alexandria.

```
4
Lattice="-4.2500 -0.1952 -2.2335 -0.1848 -0.5780 -4.7667 -1.5491 -4.1516 -1.8585" Properties=species:S:1:pos:R:3 pbc="T T T"
Ce -1.4960 -1.2312 -2.2147
Al -4.4879 -3.6936 -6.6440
Zn 0.0000 0.0000 0.0000
Ga -2.9920 -2.4624 -4.4293
```

VASP energy ... -3.83 eV/atom
Space group ... F-43m
Calculated formation energy ... -0.34 eV/atom

# 4
First-principles (PBE) data for a relaxed structure of Ce2AlZn3Ga4, as listed in Alexandria.

```
10
Lattice="-0.7866 1.6841 3.8109 -2.2249 -3.4488 1.0648 8.9108 -4.5586 3.8539" Properties=species:S:1:pos:R:3 pbc="T T T"
Ce 5.5899 -5.1532 3.4311
Ce 1.8151 -0.2877 2.8606
Ga -1.5058 -0.8824 2.4379
Ga 0.0000 0.0000 0.0000
Ga 2.0977 -3.3667 1.9208
Ga 5.3073 -2.0743 4.3710
Zn 7.3304 -3.1093 5.2459
Zn 4.4554 -2.2793 1.9269
Zn 0.0746 -2.3317 1.0458
Al 2.9496 -3.1616 4.3648
```

VASP energy ... -3.58 eV/atom
Space group ... P-4m2
Calculated formation energy ... -0.43 eV/atom

Question: Which value of VASP energy does entry 3 give?
Answer: -3.83 eV/atom

Repeat the third record exactly.
First-principles (PBE) data for a relaxed structure of CeAlZnGa, as listed in Alexandria.

```
4
Lattice="-4.2500 -0.1952 -2.2335 -0.1848 -0.5780 -4.7667 -1.5491 -4.1516 -1.8585" Properties=species:S:1:pos:R:3 pbc="T T T"
Ce -1.4960 -1.2312 -2.2147
Al -4.4879 -3.6936 -6.6440
Zn 0.0000 0.0000 0.0000
Ga -2.9920 -2.4624 -4.4293
```

VASP energy ... -3.83 eV/atom
Space group ... F-43m
Calculated formation energy ... -0.34 eV/atom

Question: Look up the calculated formation energy of the first one.
Answer: -0.43 eV/atom